Entry 1:
A plane-wave DFT calculation with PBE was carried out for NaTl2Sb after structural relaxation.

Lattice parameters (Å, degrees): 4.8790 4.8790 4.8418 90.00 90.00 90.00
Last column: nearest neighbours and their distance in Å.
Element x y z (fractional)
Na 0.0000 0.0000 0.0000  8 Tl 3.44, 4 Sb 3.45
Tl 0.0000 0.5000 0.5000  4 Na 3.44, 4 Sb 3.44, 4 Tl 3.45
Tl 0.5000 0.0000 0.5000  4 Na 3.44, 4 Sb 3.44, 4 Tl 3.45
Sb 0.5000 0.5000 0.0000  8 Tl 3.44, 4 Na 3.45

offset from the most stable computed form	26	meV per atom
total magnetization	0.00	μB/f.u.
energy	-2.67	eV/atom
V	28.8	Å³/atom
density of states at the Fermi level	0.479	states/eV per atom



Entry 2:
A plane-wave DFT calculation with PBE was carried out for PtSe2BrN after structural relaxation.

Lattice parameters (Å, degrees): 4.9095 4.9095 5.1210 90.00 90.00 90.00
Last column: nearest neighbours and their distance in Å.
Element x y z (fractional)
Pt 0.0000 0.0000 0.0000  4 Se 2.45, 2 Br 2.56
Se 0.0000 0.5000 0.0000  2 Pt 2.45
Se 0.5000 0.0000 0.0000  2 Pt 2.45
Br 0.0000 0.0000 0.5000  2 Pt 2.56
N 0.5000 0.5000 0.5000  4 Br 3.47, 8 Se 3.55

offset from the most stable computed form	934	meV per atom
total magnetization	0.00	μB/f.u.
energy	-2.93	eV/atom
V	24.7	Å³/atom
density of states at the Fermi level	1.826	states/eV per atom



Entry 3:
A plane-wave DFT calculation with PBE was carried out for Cs2YAgI after structural relaxation.

Lattice parameters (Å, degrees): 7.4210 7.4210 5.6438 90.00 90.00 90.00
Last column: nearest neighbours and their distance in Å.
Element x y z (fractional)
Cs 0.0000 0.5000 0.0000  2 I 3.71
Cs 0.5000 0.0000 0.0000  2 I 3.71
Y 0.0000 0.0000 0.5000  8 Cs 4.66
Ag 0.5000 0.5000 0.5000  2 I 2.82
I 0.5000 0.5000 0.0000  2 Ag 2.82

offset from the most stable computed form	344	meV per atom
total magnetization	1.89	μB/f.u.
energy	-2.19	eV/atom
V	62.2	Å³/atom
density of states at the Fermi level	1.045	states/eV per atom



| no. | formation energy from raw total energies (kcal/mol of atoms) |
| --- | --- |
| 1 | -2.823 |
| 2 | 38.551 |
| 3 | 7.566 |